An optimized crystal structure of CaLaTm2, computed with GGA-PBE.

Calculated values
Formation enthalpy at 0 K in eV per formula unit: 0.67
Symmetry: No. 225
E above lowest polymorph in eV/atom: 0.091

Cell: 5.787 5.787 5.787 Å, 60.00 60.00 60.00°
Positions (direct):
Ca 0.500 0.500 0.500
La 0.000 0.000 0.000
Tm 0.750 0.750 0.750
Tm 0.250 0.250 0.250